Record 1
First-principles (PBE) data for Pr2MgZr after structural relaxation, as listed in Alexandria.

Calculated values
ΔE_f, meV per atom: 46.0
Crystal system: tetragonal
Offset from the most stable computed form, kcal/mol of atoms: 0.00
Total energy, eV/atom: -4.879

Cell and atoms, written as CIF:
```
data_Pr2MgZr
_chemical_formula_sum 'Pr2 Mg1 Zr1'
_cell_length_a 3.4929
_cell_length_b 3.4929
_cell_length_c 9.6604
_cell_angle_alpha 90.00
_cell_angle_beta 90.00
_cell_angle_gamma 90.00
_symmetry_space_group_name_H-M 'P 4/m m m'
_symmetry_Int_Tables_number 123
_symmetry_space_group_name_Hall '-P 4 2'
loop_
_atom_site_label
_atom_site_type_symbol
_atom_site_fract_x
_atom_site_fract_y
_atom_site_fract_z
Pr1 Pr 0.0000 0.0000 0.2454
Mg1 Mg 0.5000 0.5000 0.5000
Zr1 Zr 0.5000 0.5000 0.0000
```



Record 2
First-principles (PBE) data for Sc2TlRe after structural relaxation, as listed in Alexandria.

Calculated values
ΔE_f, meV per atom: 381.7
Crystal system: trigonal
Total energy, eV/atom: -6.488

Cell and atoms, written as CIF:
```
data_Sc2TlRe
_chemical_formula_sum 'Sc6 Tl3 Re3'
_cell_length_a 3.1928
_cell_length_b 3.1928
_cell_length_c 28.9768
_cell_angle_alpha 90.00
_cell_angle_beta 90.00
_cell_angle_gamma 120.00
_symmetry_space_group_name_H-M 'R 3 m'
_symmetry_Int_Tables_number 160
_symmetry_space_group_name_Hall 'R 3 -2"'
loop_
_atom_site_label
_atom_site_type_symbol
_atom_site_fract_x
_atom_site_fract_y
_atom_site_fract_z
Sc1 Sc 0.0000 0.0000 0.0000
Sc2 Sc 0.0000 0.0000 0.2361
Tl1 Tl 0.0000 0.0000 0.7538
Re1 Re 0.0000 0.0000 0.4990
```



Record 3
First-principles (PBE) data for AcEuNiSb after structural relaxation, as listed in Alexandria.

Calculated values
Formation energy without anion corrections, eV/atom: -0.467
Crystal system: cubic
Total energy, eV/atom: -6.538

Cell and atoms, written as CIF:
```
data_AcEuNiSb
_chemical_formula_sum 'Ac4 Eu4 Ni4 Sb4'
_cell_length_a 7.7071
_cell_length_b 7.7071
_cell_length_c 7.7071
_cell_angle_alpha 90.00
_cell_angle_beta 90.00
_cell_angle_gamma 90.00
_symmetry_space_group_name_H-M 'F -4 3 m'
_symmetry_Int_Tables_number 216
_symmetry_space_group_name_Hall 'F -4 2 3'
loop_
_atom_site_label
_atom_site_type_symbol
_atom_site_fract_x
_atom_site_fract_y
_atom_site_fract_z
Ac1 Ac 0.0000 0.0000 0.0000
Eu1 Eu 0.0000 0.0000 0.5000
Ni1 Ni 0.2500 0.2500 0.7500
Sb1 Sb 0.2500 0.2500 0.2500
```



Record 4
First-principles (PBE) data for Li2SbTe after structural relaxation, as listed in Alexandria.

Calculated values
Formation energy without anion corrections, eV/atom: -0.403
Crystal system: cubic
Offset from the most stable computed form, kcal/mol of atoms: 2.57
Total energy, eV/atom: -3.176

Cell and atoms, written as CIF:
```
data_Li2SbTe
_chemical_formula_sum 'Li8 Sb4 Te4'
_cell_length_a 7.1024
_cell_length_b 7.1024
_cell_length_c 7.1024
_cell_angle_alpha 90.00
_cell_angle_beta 90.00
_cell_angle_gamma 90.00
_symmetry_space_group_name_H-M 'F m -3 m'
_symmetry_Int_Tables_number 225
_symmetry_space_group_name_Hall '-F 4 2 3'
loop_
_atom_site_label
_atom_site_type_symbol
_atom_site_fract_x
_atom_site_fract_y
_atom_site_fract_z
Li1 Li 0.2500 0.2500 0.2500
Sb1 Sb 0.0000 0.0000 0.0000
Te1 Te 0.0000 0.0000 0.5000
```



Record 5
First-principles (PBE) data for CrCo2 after structural relaxation, as listed in Alexandria.

Calculated values
ΔE_f, meV per atom: 13.1
Crystal system: orthorhombic
Total energy, eV/atom: -7.932

Cell and atoms, written as CIF:
```
data_CrCo2
_chemical_formula_sum 'Cr4 Co8'
_cell_length_a 2.4788
_cell_length_b 12.9949
_cell_length_c 3.9898
_cell_angle_alpha 90.00
_cell_angle_beta 90.00
_cell_angle_gamma 90.00
_symmetry_space_group_name_H-M 'C m c m'
_symmetry_Int_Tables_number 63
_symmetry_space_group_name_Hall '-C 2c 2'
loop_
_atom_site_label
_atom_site_type_symbol
_atom_site_fract_x
_atom_site_fract_y
_atom_site_fract_z
Cr1 Cr 0.0000 0.1113 0.2500
Co1 Co 0.0000 0.2214 0.7500
Co2 Co 0.0000 0.4447 0.2500
```



Record 6
First-principles (PBE) data for Rb3CrIn after structural relaxation, as listed in Alexandria.

Calculated values
ΔE_f, meV per atom: 782.5
Crystal system: cubic
Offset from the most stable computed form, kcal/mol of atoms: 0.00
Total energy, eV/atom: -2.270

Cell and atoms, written as CIF:
```
data_Rb3CrIn
_chemical_formula_sum 'Rb3 Cr1 In1'
_cell_length_a 7.0350
_cell_length_b 7.0350
_cell_length_c 7.0350
_cell_angle_alpha 90.00
_cell_angle_beta 90.00
_cell_angle_gamma 90.00
_symmetry_space_group_name_H-M 'P m -3 m'
_symmetry_Int_Tables_number 221
_symmetry_space_group_name_Hall '-P 4 2 3'
loop_
_atom_site_label
_atom_site_type_symbol
_atom_site_fract_x
_atom_site_fract_y
_atom_site_fract_z
Rb1 Rb 0.0000 0.0000 0.5000
Cr1 Cr 0.5000 0.5000 0.5000
In1 In 0.0000 0.0000 0.0000
```



Record 7
First-principles (PBE) data for TiSi3B after structural relaxation, as listed in Alexandria.

Calculated values
Formation energy without anion corrections, eV/atom: 0.609
Crystal system: cubic
Offset from the most stable computed form, kcal/mol of atoms: 0.00
Total energy, eV/atom: -5.560

Cell and atoms, written as CIF:
```
data_TiSi3B
_chemical_formula_sum 'Ti1 Si3 B1'
_cell_length_a 4.1346
_cell_length_b 4.1346
_cell_length_c 4.1346
_cell_angle_alpha 90.00
_cell_angle_beta 90.00
_cell_angle_gamma 90.00
_symmetry_space_group_name_H-M 'P m -3 m'
_symmetry_Int_Tables_number 221
_symmetry_space_group_name_Hall '-P 4 2 3'
loop_
_atom_site_label
_atom_site_type_symbol
_atom_site_fract_x
_atom_site_fract_y
_atom_site_fract_z
Ti1 Ti 0.0000 0.0000 0.0000
Si1 Si 0.0000 0.5000 0.5000
B1 B 0.5000 0.5000 0.5000
```



Record 8
First-principles (PBE) data for ThAgBr6 after structural relaxation, as listed in Alexandria.

Calculated values
Formation energy without anion corrections, eV/atom: -1.119
Crystal system: monoclinic
Offset from the most stable computed form, kcal/mol of atoms: 0.00
Total energy, eV/atom: -3.657

Cell and atoms, written as CIF:
```
data_ThAgBr6
_chemical_formula_sum 'Th2 Ag2 Br12'
_cell_length_a 9.7684
_cell_length_b 11.6302
_cell_length_c 7.1058
_cell_angle_alpha 90.00
_cell_angle_beta 117.17
_cell_angle_gamma 90.00
_symmetry_space_group_name_H-M 'C 1 2/m 1'
_symmetry_Int_Tables_number 12
loop_
_symmetry_equiv_pos_as_xyz
'x,y,z'
'-x,-y,-z'
'-x,y,-z'
'x,-y,z'
'x+1/2,y+1/2,z'
'-x+1/2,-y+1/2,-z'
'-x+1/2,y+1/2,-z'
'x+1/2,-y+1/2,z'
loop_
_atom_site_label
_atom_site_type_symbol
_atom_site_fract_x
_atom_site_fract_y
_atom_site_fract_z
Th1 Th 0.0000 0.0000 0.0000
Ag1 Ag 0.0000 0.0000 0.5000
Br1 Br 0.1197 0.1627 0.8008
Br2 Br 0.2290 0.5000 0.6204
```



Record 9
First-principles (PBE) data for PaTi4Mo after structural relaxation, as listed in Alexandria.

Calculated values
ΔE_f, meV per atom: 4.9
Crystal system: monoclinic
Total energy, eV/atom: -8.646

Cell and atoms, written as CIF:
```
data_PaTi4Mo
_chemical_formula_sum 'Pa2 Ti8 Mo2'
_cell_length_a 10.2791
_cell_length_b 3.2896
_cell_length_c 6.7468
_cell_angle_alpha 90.00
_cell_angle_beta 109.96
_cell_angle_gamma 90.00
_symmetry_space_group_name_H-M 'C 1 2/m 1'
_symmetry_Int_Tables_number 12
loop_
_symmetry_equiv_pos_as_xyz
'x,y,z'
'-x,-y,-z'
'-x,y,-z'
'x,-y,z'
'x+1/2,y+1/2,z'
'-x+1/2,-y+1/2,-z'
'-x+1/2,y+1/2,-z'
'x+1/2,-y+1/2,z'
loop_
_atom_site_label
_atom_site_type_symbol
_atom_site_fract_x
_atom_site_fract_y
_atom_site_fract_z
Pa1 Pa 0.0000 0.0000 0.0000
Ti1 Ti 0.1539 0.5000 0.3511
Ti2 Ti 0.1621 0.5000 0.8111
Mo1 Mo 0.0000 0.0000 0.5000
```



Record 10
First-principles (PBE) data for NdHoC2 after structural relaxation, as listed in Alexandria.

Calculated values
ΔE_f, meV per atom: 180.5
Crystal system: trigonal
Total energy, eV/atom: -6.768

Cell and atoms, written as CIF:
```
data_NdHoC2
_chemical_formula_sum 'Nd3 Ho3 C6'
_cell_length_a 3.6815
_cell_length_b 3.6815
_cell_length_c 17.9629
_cell_angle_alpha 90.00
_cell_angle_beta 90.00
_cell_angle_gamma 120.00
_symmetry_space_group_name_H-M 'R -3 m'
_symmetry_Int_Tables_number 166
_symmetry_space_group_name_Hall '-R 3 2"'
loop_
_atom_site_label
_atom_site_type_symbol
_atom_site_fract_x
_atom_site_fract_y
_atom_site_fract_z
Nd1 Nd 0.0000 0.0000 0.0000
Ho1 Ho 0.0000 0.0000 0.5000
C1 C 0.0000 0.0000 0.2452
```



Record 11
First-principles (PBE) data for Ag2TeRu after structural relaxation, as listed in Alexandria.

Calculated values
Formation energy without anion corrections, eV/atom: 0.389
Crystal system: tetragonal
Total energy, eV/atom: -4.141

Cell and atoms, written as CIF:
```
data_Ag2TeRu
_chemical_formula_sum 'Ag4 Te2 Ru2'
_cell_length_a 3.8878
_cell_length_b 3.8878
_cell_length_c 9.7718
_cell_angle_alpha 90.00
_cell_angle_beta 90.00
_cell_angle_gamma 90.00
_symmetry_space_group_name_H-M 'I 4/m m m'
_symmetry_Int_Tables_number 139
_symmetry_space_group_name_Hall '-I 4 2'
loop_
_atom_site_label
_atom_site_type_symbol
_atom_site_fract_x
_atom_site_fract_y
_atom_site_fract_z
Ag1 Ag 0.0000 0.5000 0.2500
Te1 Te 0.0000 0.0000 0.0000
Ru1 Ru 0.0000 0.0000 0.5000
```



Record 12
First-principles (PBE) data for La2CdGeIr after structural relaxation, as listed in Alexandria.

Calculated values
ΔE_f, meV per atom: -449.6
Crystal system: tetragonal
Total energy, eV/atom: -5.299

Cell and atoms, written as CIF:
```
data_La2CdGeIr
_chemical_formula_sum 'La2 Cd1 Ge1 Ir1'
_cell_length_a 5.6452
_cell_length_b 5.6452
_cell_length_c 4.7279
_cell_angle_alpha 90.00
_cell_angle_beta 90.00
_cell_angle_gamma 90.00
_symmetry_space_group_name_H-M 'P 4/m m m'
_symmetry_Int_Tables_number 123
_symmetry_space_group_name_Hall '-P 4 2'
loop_
_atom_site_label
_atom_site_type_symbol
_atom_site_fract_x
_atom_site_fract_y
_atom_site_fract_z
La1 La 0.0000 0.5000 0.0000
Cd1 Cd 0.0000 0.0000 0.5000
Ge1 Ge 0.5000 0.5000 0.5000
Ir1 Ir 0.5000 0.5000 0.0000
```